## Ce2ThNpAs4 (PBE)

Data for a geometry-optimized Ce2ThNpAs4 structure.

The structure belongs to space group P2/m (No. 10); the cell edges are 7.2869, 4.2113 and 7.2870 Å and the angles 90.00°, 109.53° and 90.00°. Symmetry generates all atoms from Ce at (0.0000, 0.0000, 0.0000), Ce at (0.0000, 0.5000, 0.5000), Th at (0.5000, 0.0000, 0.5000), Np at (0.5000, 0.5000, 0.0000), As at (0.2501, 0.5000, 0.2461) and As at (0.2543, 0.0000, 0.7558).

The calculation puts the theoretical density at 8.3 g/cm3. Its total moment is 5.64 μB/cell. The value obtained for the formation energy is -9.93 eV per formula unit.